[1]
First-principles (PBE) data for a relaxed Cd2AsP crystal, as listed in the Alexandria database.

Computed properties:
The space-group type is No. 166. As for the energy above the most stable polymorph in this dataset: 297 meV/atom. The calculation puts the formation energy at 0.3747 eV per atom.

```
4
Lattice="9.9534 -0.1622 -0.0949 9.5240 2.8967 -0.0949 9.5240 1.3371 2.5714" Properties=species:S:1:pos:R:3 pbc="T T T"
As 21.7511 3.0538 1.7863
Cd 28.9390 4.0630 2.3766
Cd 14.5631 2.0446 1.1960
P 7.2504 1.0179 0.5954
```

[2]
First-principles (PBE) data for a relaxed CoTeRu2N crystal, as listed in the Alexandria database.

Computed properties:
The space-group type is No. 123. The uncorrected formation energy is 904 meV/atom.

```
5
Lattice="4.8134 0.0000 0.0000 0.0000 3.3534 0.0000 0.0000 0.0000 4.8134" Properties=species:S:1:pos:R:3 pbc="T T T"
Ru 0.0000 0.0000 2.4067
Ru 2.4067 0.0000 0.0000
Te 2.4067 1.6767 2.4067
Co 0.0000 0.0000 0.0000
N 0.0000 1.6767 0.0000
```

no.,N(E_F) (states/eV per atom),total energy (eV per atom)
1,0.292,-2.598
2,1.156,-6.521